CaAsH5W2O4 | PBE+U | relaxed

Properties
E_tot, eV/atom: -5.236
Total magnetic moment, Bohr magnetons per cell: 16.00

Unit cell a=6.379 b=20.187 c=5.779 alpha=90.00 beta=122.60 gamma=90.00
Space group Cc (No. 9)
Unique sites:
Ca 0.000 0.062 0.000 (multiplicity 4)
As 0.035 0.447 0.692 (multiplicity 4)
H 0.189 0.306 0.622 (multiplicity 4)
H 0.227 0.360 0.256 (multiplicity 4)
H 0.314 0.053 0.656 (multiplicity 4)
H 0.440 0.287 0.155 (multiplicity 4)
H 0.443 0.207 0.660 (multiplicity 4)
W 0.296 0.277 0.385 (multiplicity 4)
W 0.327 0.203 0.931 (multiplicity 4)
O 0.152 0.185 0.159 (multiplicity 4)
O 0.261 0.479 0.640 (multiplicity 4)
O 0.296 0.017 0.523 (multiplicity 4)
O 0.305 0.099 0.869 (multiplicity 4)